VASP calculation (PBE) on a geometry-optimized CdBiBr3 structure.

The structure in CIF format:
```
data_CdBiBr3
_space_group_name_H-M_alt 'P 1'
_space_group_IT_number 1
_cell_length_a 8.7920
_cell_length_b 8.7920
_cell_length_c 12.1840
_cell_angle_alpha 115.74
_cell_angle_beta 115.74
_cell_angle_gamma 24.61
loop_
_space_group_symop_operation_xyz
'x,y,z'
loop_
_atom_site_label
_atom_site_type_symbol
_atom_site_fract_x
_atom_site_fract_y
_atom_site_fract_z
_atom_site_occupancy
Cd1 Cd 0.0553 0.0553 0.4492 1
Cd2 Cd 0.9447 0.9447 0.5508 1
Bi1 Bi 0.3349 0.3349 0.1908 1
Bi2 Bi 0.6651 0.6651 0.8092 1
Br1 Br 0.1593 0.1593 0.0336 1
Br2 Br 0.2982 0.2982 0.3940 1
Br3 Br 0.4684 0.4684 0.7370 1
Br4 Br 0.5316 0.5316 0.2630 1
Br5 Br 0.7018 0.7018 0.6060 1
Br6 Br 0.8407 0.8407 0.9664 1
```

Polymorph energy (0 for the lowest one) in eV per atom: 0.000
Energy relative to the elements, uncorrected in kJ/mol of formula units: -254
Space group: C2/m (12)

VASP calculation (PBE) on a geometry-optimized SiNiPdRu structure.

The structure in CIF format:
```
data_SiNiPdRu
_space_group_name_H-M_alt 'P 1'
_space_group_IT_number 1
_cell_length_a 5.9206
_cell_length_b 5.9206
_cell_length_c 5.9206
_cell_angle_alpha 90.00
_cell_angle_beta 90.00
_cell_angle_gamma 90.00
loop_
_space_group_symop_operation_xyz
'x,y,z'
loop_
_atom_site_label
_atom_site_type_symbol
_atom_site_fract_x
_atom_site_fract_y
_atom_site_fract_z
_atom_site_occupancy
Si1 Si 0.0000 0.0000 0.0000 1
Si2 Si 0.0000 0.5000 0.5000 1
Si3 Si 0.5000 0.0000 0.5000 1
Si4 Si 0.5000 0.5000 0.0000 1
Ni1 Ni 0.0000 0.0000 0.5000 1
Ni2 Ni 0.0000 0.5000 0.0000 1
Ni3 Ni 0.5000 0.0000 0.0000 1
Ni4 Ni 0.5000 0.5000 0.5000 1
Pd1 Pd 0.2500 0.2500 0.2500 1
Pd2 Pd 0.2500 0.7500 0.7500 1
Pd3 Pd 0.7500 0.2500 0.7500 1
Pd4 Pd 0.7500 0.7500 0.2500 1
Ru1 Ru 0.2500 0.2500 0.7500 1
Ru2 Ru 0.2500 0.7500 0.2500 1
Ru3 Ru 0.7500 0.2500 0.2500 1
Ru4 Ru 0.7500 0.7500 0.7500 1
```

Energy relative to the elements, uncorrected in kJ/mol of formula units: -111
Space group: F-43m (216)

VASP calculation (PBE) on a geometry-optimized CuSeClO2 structure.

The structure in CIF format:
```
data_CuSeClO2
_space_group_name_H-M_alt 'P 1'
_space_group_IT_number 1
_cell_length_a 3.6961
_cell_length_b 3.6961
_cell_length_c 5.6836
_cell_angle_alpha 90.00
_cell_angle_beta 90.00
_cell_angle_gamma 90.00
loop_
_space_group_symop_operation_xyz
'x,y,z'
loop_
_atom_site_label
_atom_site_type_symbol
_atom_site_fract_x
_atom_site_fract_y
_atom_site_fract_z
_atom_site_occupancy
Cu1 Cu 0.0000 0.0000 0.0000 1
Se1 Se 0.0000 0.0000 0.5000 1
Cl1 Cl 0.5000 0.5000 0.0000 1
O1 O 0.0000 0.5000 0.5000 1
O2 O 0.5000 0.0000 0.5000 1
```

Energy relative to the elements, uncorrected in kJ/mol of formula units: -27
Space group: P4/mmm (123)

VASP calculation (PBE) on a geometry-optimized Er2Tm7Mg2 structure.

The structure in CIF format:
```
data_Er2Tm7Mg2
_space_group_name_H-M_alt 'P 1'
_space_group_IT_number 1
_cell_length_a 8.1808
_cell_length_b 8.1808
_cell_length_c 9.1834
_cell_angle_alpha 120.71
_cell_angle_beta 120.71
_cell_angle_gamma 39.25
loop_
_space_group_symop_operation_xyz
'x,y,z'
loop_
_atom_site_label
_atom_site_type_symbol
_atom_site_fract_x
_atom_site_fract_y
_atom_site_fract_z
_atom_site_occupancy
Er1 Er 0.1998 0.1998 0.2292 1
Er2 Er 0.8002 0.8002 0.7708 1
Tm1 Tm 0.0514 0.0514 0.7901 1
Tm2 Tm 0.1700 0.1700 0.5645 1
Tm3 Tm 0.3153 0.3153 0.0113 1
Tm4 Tm 0.5000 0.5000 0.5000 1
Tm5 Tm 0.6847 0.6847 0.9887 1
Tm6 Tm 0.8300 0.8300 0.4355 1
Tm7 Tm 0.9486 0.9486 0.2099 1
Mg1 Mg 0.4195 0.4195 0.7661 1
Mg2 Mg 0.5805 0.5805 0.2339 1
```

Polymorph energy (0 for the lowest one) in eV per atom: 0.000
DFT formation energy in eV per atom: 0.09
Space group: C2/m (12)

VASP calculation (PBE) on a geometry-optimized CeNi4Ge2Ir structure.

The structure in CIF format:
```
data_CeNi4Ge2Ir
_space_group_name_H-M_alt 'P 1'
_space_group_IT_number 1
_cell_length_a 8.8331
_cell_length_b 8.8331
_cell_length_c 8.8331
_cell_angle_alpha 26.27
_cell_angle_beta 26.27
_cell_angle_gamma 26.27
loop_
_space_group_symop_operation_xyz
'x,y,z'
loop_
_atom_site_label
_atom_site_type_symbol
_atom_site_fract_x
_atom_site_fract_y
_atom_site_fract_z
_atom_site_occupancy
Ce1 Ce 0.0000 0.0000 0.0000 1
Ni1 Ni 0.1180 0.1180 0.1180 1
Ni2 Ni 0.4000 0.4000 0.4000 1
Ni3 Ni 0.6000 0.6000 0.6000 1
Ni4 Ni 0.8820 0.8820 0.8820 1
Ge1 Ge 0.2321 0.2321 0.2321 1
Ge2 Ge 0.7679 0.7679 0.7679 1
Ir1 Ir 0.5000 0.5000 0.5000 1
```

DFT formation energy in eV per atom: -0.27
Space group: R-3m (166)

VASP calculation (PBE) on a geometry-optimized BaNb2O5 structure.

The structure in CIF format:
```
data_BaNb2O5
_space_group_name_H-M_alt 'P 1'
_space_group_IT_number 1
_cell_length_a 3.2603
_cell_length_b 5.6147
_cell_length_c 11.0019
_cell_angle_alpha 90.00
_cell_angle_beta 90.00
_cell_angle_gamma 90.00
loop_
_space_group_symop_operation_xyz
'x,y,z'
loop_
_atom_site_label
_atom_site_type_symbol
_atom_site_fract_x
_atom_site_fract_y
_atom_site_fract_z
_atom_site_occupancy
Ba1 Ba 0.0000 0.0000 0.0000 1
Ba2 Ba 0.5000 0.5000 0.5000 1
Nb1 Nb 0.0000 0.5000 0.1851 1
Nb2 Nb 0.0000 0.5000 0.8149 1
Nb3 Nb 0.5000 0.0000 0.3149 1
Nb4 Nb 0.5000 0.0000 0.6851 1
O1 O 0.0000 0.2574 0.3390 1
O2 O 0.0000 0.2574 0.6610 1
O3 O 0.0000 0.5000 0.0000 1
O4 O 0.0000 0.7426 0.3390 1
O5 O 0.0000 0.7426 0.6610 1
O6 O 0.5000 0.0000 0.5000 1
O7 O 0.5000 0.2426 0.1610 1
O8 O 0.5000 0.2426 0.8390 1
O9 O 0.5000 0.7574 0.1610 1
O10 O 0.5000 0.7574 0.8390 1
```

Energy relative to the elements, uncorrected in kJ/mol of formula units: -1877
Space group: Immm (71)

Here are the calculated density of states at the Fermi level numbers, same order: 1.45, 20.27, 1.72, 14.62, 7.43, 4.36 (states/eV per cell).